# SmDyZn2In2

An optimized crystal structure of SmDyZn2In2 (PBE, OQMD via LeMat-Bulk).

POSCAR file:
```
SmDyZn2In2
1.0
4.685 0.000 0.000
-2.342 4.057 0.000
0.000 0.000 7.405
Sm Dy Zn In
1 1 2 2
Direct
0.000 0.000 0.000
0.000 0.000 0.500
0.333 0.667 0.201
0.667 0.333 0.693
0.333 0.667 0.773
0.667 0.333 0.281
```

The size of the total moment is 0.01 μB/f.u. For the total energy, the calculation gives -3.36 eV/atom.